Compound: CsSrMnO3
Source: Alexandria
Functional: GGA+U
Structure: relaxed

Unit cell a=3.9233 b=7.2019 c=8.3935 alpha=105.13 beta=90.00 gamma=105.81
Closest atoms and distances in Å follow each position.
Sites, in units of the cell vectors:
1 O 0.4930 0.9861 0.6818  2 Mn 1.97
2 O 0.1355 0.2710 0.7678  1 Mn 1.90
3 O 0.8489 0.6978 0.6331  1 Mn 1.93
4 O 0.5070 0.0139 0.3182  2 Mn 1.97
5 O 0.1511 0.3022 0.3669  1 Mn 1.93
6 O 0.8645 0.7290 0.2322  1 Mn 1.90
7 Cs 0.6491 0.2981 0.0731  6 O 2.92-3.21
8 Cs 0.3509 0.7019 0.9269  6 O 2.92-3.21
9 Mn 0.9935 0.9869 0.7028  4 O 1.90-1.97
10 Mn 0.0065 0.0131 0.2972  4 O 1.90-1.97
11 Sr 0.3428 0.6857 0.4224  7 O 2.57-2.65
12 Sr 0.6572 0.3143 0.5776  7 O 2.57-2.65

Computed properties:
Symmetry   No. 12
DFT total energy   -72.010 eV per cell